Entry from the Alexandria database: a crystal of Sr3TcSn relaxed with PBEsol (SCAN).

Cell lengths 5.485, 5.485, 5.485 Å; angles 90.00, 90.00, 90.00 degrees
Fractional positions:
Sr: 0.000 0.000 0.500
Sr: 0.000 0.500 0.000
Sr: 0.500 0.000 0.000
Tc: 0.000 0.000 0.000
Sn: 0.500 0.500 0.500

Calculated values
Calculated total energy, Ry/atom: -1.98901
Calculated formation energy, eV per formula unit: 2.498
Space group: Pm-3m (221)



Entry from the Alexandria database: a crystal of SrTi2Sn relaxed with PBEsol (SCAN).

Cell lengths 6.942, 6.942, 6.942 Å; angles 90.00, 90.00, 90.00 degrees
Fractional positions:
Sr: 0.000 0.000 0.000
Sr: 0.000 0.500 0.500
Sr: 0.500 0.000 0.500
Sr: 0.500 0.500 0.000
Ti: 0.250 0.250 0.250
Ti: 0.250 0.250 0.750
Ti: 0.250 0.750 0.250
Ti: 0.250 0.750 0.750
Ti: 0.750 0.250 0.250
Ti: 0.750 0.250 0.750
Ti: 0.750 0.750 0.250
Ti: 0.750 0.750 0.750
Sn: 0.000 0.000 0.500
Sn: 0.000 0.500 0.000
Sn: 0.500 0.000 0.000
Sn: 0.500 0.500 0.500

Calculated values
Calculated total energy, Ry/atom: -1.63677
Calculated formation energy, eV per formula unit: 1.179
Space group: Fm-3m (225)



Entry from the Alexandria database: a crystal of SrTlSn2 relaxed with PBEsol (SCAN).

Cell lengths 7.759, 7.759, 7.759 Å; angles 90.00, 90.00, 90.00 degrees
Fractional positions:
Sr: 0.000 0.000 0.000
Sr: 0.000 0.500 0.500
Sr: 0.500 0.000 0.500
Sr: 0.500 0.500 0.000
Tl: 0.000 0.000 0.500
Tl: 0.000 0.500 0.000
Tl: 0.500 0.000 0.000
Tl: 0.500 0.500 0.500
Sn: 0.250 0.250 0.250
Sn: 0.250 0.250 0.750
Sn: 0.250 0.750 0.250
Sn: 0.250 0.750 0.750
Sn: 0.750 0.250 0.250
Sn: 0.750 0.250 0.750
Sn: 0.750 0.750 0.250
Sn: 0.750 0.750 0.750

Calculated values
Calculated total energy, Ry/atom: -3.07389
Calculated formation energy, eV per formula unit: -0.814
Space group: Fm-3m (225)



Entry from the Alexandria database: a crystal of SrSnW3 relaxed with PBEsol (SCAN).

Cell lengths 4.773, 4.773, 4.773 Å; angles 90.00, 90.00, 90.00 degrees
Fractional positions:
Sr: 0.000 0.000 0.000
Sn: 0.500 0.500 0.500
W: 0.000 0.000 0.500
W: 0.000 0.500 0.000
W: 0.500 0.000 0.000

Calculated values
Calculated total energy, Ry/atom: -3.64909
Calculated formation energy, eV per formula unit: 19.018
Space group: Pm-3m (221)



Entry from the Alexandria database: a crystal of Sr2Zn2Sn relaxed with PBEsol (SCAN).

Cell lengths 7.399, 7.399, 4.829 Å; angles 90.00, 90.00, 90.00 degrees
Fractional positions:
Sr: 0.188 0.312 0.000
Sr: 0.312 0.812 0.000
Sr: 0.688 0.188 0.000
Sr: 0.812 0.688 0.000
Zn: 0.116 0.616 0.500
Zn: 0.384 0.116 0.500
Zn: 0.616 0.884 0.500
Zn: 0.884 0.384 0.500
Sn: 0.000 0.000 0.500
Sn: 0.500 0.500 0.500

Calculated values
Calculated total energy, Ry/atom: -1.60917
Calculated formation energy, eV per formula unit: -1.968
Space group: P4/mbm (127)



Entry from the Alexandria database: a crystal of TaSn2 relaxed with PBEsol (SCAN).

Cell lengths 10.713, 9.949, 5.620 Å; angles 81.87, 66.84, 31.29 degrees
Fractional positions:
Ta: 0.002 0.002 0.748
Ta: 0.252 0.252 0.998
Ta: 0.748 0.748 0.002
Ta: 0.998 0.998 0.252
Sn: 0.044 0.706 0.044
Sn: 0.294 0.294 0.456
Sn: 0.294 0.956 0.294
Sn: 0.456 0.456 0.294
Sn: 0.544 0.544 0.706
Sn: 0.706 0.044 0.706
Sn: 0.706 0.706 0.544
Sn: 0.956 0.294 0.956

Calculated values
Calculated total energy, Ry/atom: -3.39207
Calculated formation energy, eV per formula unit: -0.029
Space group: Fddd (70)



Entry from the Alexandria database: a crystal of TaTcSn3 relaxed with PBEsol (SCAN).

Cell lengths 5.022, 5.022, 5.022 Å; angles 90.00, 90.00, 90.00 degrees
Fractional positions:
Ta: 0.000 0.000 0.000
Tc: 0.500 0.500 0.500
Sn: 0.000 0.500 0.500
Sn: 0.500 0.000 0.500
Sn: 0.500 0.500 0.000

Calculated values
Calculated total energy, Ry/atom: -2.99007
Calculated formation energy, eV per formula unit: 5.997
Space group: Pm-3m (221)



Entry from the Alexandria database: a crystal of Ta2TcSnW relaxed with PBEsol (SCAN).

Cell lengths 4.865, 4.865, 4.767 Å; angles 90.00, 90.00, 90.00 degrees
Fractional positions:
Ta: 0.000 0.500 0.000
Ta: 0.500 0.000 0.000
Tc: 0.000 0.000 0.500
Sn: 0.500 0.500 0.000
W: 0.500 0.500 0.500

Calculated values
Calculated total energy, Ry/atom: -3.83291
Calculated formation energy, eV per formula unit: 13.088
Space group: P4/mmm (123)



Entry from the Alexandria database: a crystal of TaTiSn3 relaxed with PBEsol (SCAN).

Cell lengths 5.255, 5.255, 5.255 Å; angles 90.00, 90.00, 90.00 degrees
Fractional positions:
Ta: 0.000 0.000 0.000
Ti: 0.500 0.500 0.500
Sn: 0.000 0.000 0.500
Sn: 0.000 0.500 0.000
Sn: 0.500 0.000 0.000

Calculated values
Calculated total energy, Ry/atom: -2.74597
Calculated formation energy, eV per formula unit: 3.572
Space group: Pm-3m (221)



Entry from the Alexandria database: a crystal of TaTl3Sn relaxed with PBEsol (SCAN).

Cell lengths 5.507, 5.507, 5.507 Å; angles 90.00, 90.00, 90.00 degrees
Fractional positions:
Ta: 0.000 0.000 0.000
Tl: 0.000 0.500 0.500
Tl: 0.500 0.000 0.500
Tl: 0.500 0.500 0.000
Sn: 0.500 0.500 0.500

Calculated values
Calculated total energy, Ry/atom: -4.58479
Calculated formation energy, eV per formula unit: 7.683
Space group: Pm-3m (221)



Entry from the Alexandria database: a crystal of TaTlSn2 relaxed with PBEsol (SCAN).

Cell lengths 7.161, 7.161, 7.161 Å; angles 90.00, 90.00, 90.00 degrees
Fractional positions:
Ta: 0.000 0.000 0.000
Ta: 0.000 0.500 0.500
Ta: 0.500 0.000 0.500
Ta: 0.500 0.500 0.000
Tl: 0.000 0.000 0.500
Tl: 0.000 0.500 0.000
Tl: 0.500 0.000 0.000
Tl: 0.500 0.500 0.500
Sn: 0.250 0.250 0.250
Sn: 0.250 0.250 0.750
Sn: 0.250 0.750 0.250
Sn: 0.250 0.750 0.750
Sn: 0.750 0.250 0.250
Sn: 0.750 0.250 0.750
Sn: 0.750 0.750 0.250
Sn: 0.750 0.750 0.750

Calculated values
Calculated total energy, Ry/atom: -3.81731
Calculated formation energy, eV per formula unit: 3.035
Space group: Fm-3m (225)



Entry from the Alexandria database: a crystal of TaTl2Sn2 relaxed with PBEsol (SCAN).

Cell lengths 3.965, 3.965, 16.360 Å; angles 90.00, 90.00, 90.00 degrees
Fractional positions:
Ta: 0.000 0.000 0.000
Ta: 0.500 0.500 0.500
Tl: 0.000 0.000 0.412
Tl: 0.000 0.000 0.588
Tl: 0.500 0.500 0.088
Tl: 0.500 0.500 0.912
Sn: 0.000 0.500 0.250
Sn: 0.000 0.500 0.750
Sn: 0.500 0.000 0.250
Sn: 0.500 0.000 0.750

Calculated values
Calculated total energy, Ry/atom: -4.09273
Calculated formation energy, eV per formula unit: 4.720
Space group: I4/mmm (139)



Entry from the Alexandria database: a crystal of TaTl3Sn relaxed with PBEsol (SCAN).

Cell lengths 5.379, 5.379, 5.379 Å; angles 90.00, 90.00, 90.00 degrees
Fractional positions:
Ta: 0.000 0.000 0.000
Tl: 0.000 0.000 0.500
Tl: 0.000 0.500 0.000
Tl: 0.500 0.000 0.000
Sn: 0.500 0.500 0.500

Calculated values
Calculated total energy, Ry/atom: -4.64482
Calculated formation energy, eV per formula unit: 3.600
Space group: Pm-3m (221)